Record 1
This record from the Alexandria database describes a PBEsol-optimized structure of TlZnTc2. The functional is SCAN.

The structure in POSCAR format:
```
TlZnTc2
1.0
3.846 0.000 0.000
0.000 3.846 0.000
0.000 0.000 4.245
Tl Zn Tc
1 1 2
direct
0.000 0.000 0.000
0.500 0.500 0.000
0.000 0.500 0.500
0.500 0.000 0.500
```

Properties
Energy of formation (eV per atom): 0.644
Energy above the most stable polymorph in this dataset (kJ/mol of atoms): 12.77
E_tot (eV/atom): -38.355
Density of states at the Fermi level (states/eV/cell): 3.70
Space-group type: P4/mmm


Record 2
This record from the Alexandria database describes a PBEsol-optimized structure of Zr2TlTc. The functional is SCAN.

The structure in POSCAR format:
```
Zr2TlTc
1.0
3.291 0.000 0.000
0.000 3.291 0.000
0.000 0.000 7.255
Zr Tl Tc
2 1 1
direct
0.000 0.000 0.214
0.000 0.000 0.786
0.500 0.500 0.500
0.500 0.500 0.000
```

Properties
Energy of formation (eV per atom): -0.396
E_tot (eV/atom): -42.600
Density of states at the Fermi level (states/eV/cell): 1.46
Space-group type: P4/mmm


Record 3
This record from the Alexandria database describes a PBEsol-optimized structure of ZrTlTc2. The functional is SCAN.

The structure in POSCAR format:
```
ZrTlTc2
1.0
1.466 0.846 9.521
-1.466 0.846 9.521
0.000 -1.692 9.521
Zr Tl Tc
1 1 2
direct
0.000 0.000 0.000
0.761 0.761 0.761
0.247 0.247 0.247
0.513 0.513 0.513
```

Properties
Energy of formation (eV per atom): 0.311
Energy above the most stable polymorph in this dataset (kJ/mol of atoms): 20.43
E_tot (eV/atom): -42.984
Density of states at the Fermi level (states/eV/cell): 3.36
Space-group type: R3m


Record 4
This record from the Alexandria database describes a PBEsol-optimized structure of ZrTlTc2. The functional is SCAN.

The structure in POSCAR format:
```
ZrTlTc2
1.0
2.932 -4.573 0.000
2.932 4.573 0.000
-1.274 0.000 2.577
Zr Tl Tc
1 1 2
direct
0.000 0.000 0.000
0.500 0.500 0.000
0.000 0.500 0.500
0.500 0.000 0.500
```

Properties
Energy of formation (eV per atom): 0.300
Energy above the most stable polymorph in this dataset (kJ/mol of atoms): 19.37
E_tot (eV/atom): -42.995
Density of states at the Fermi level (states/eV/cell): 3.04
Space-group type: C2/m


Record 5
This record from the Alexandria database describes a PBEsol-optimized structure of ZrTlTc2. The functional is SCAN.

The structure in POSCAR format:
```
ZrTlTc2
1.0
0.000 3.262 3.262
3.262 0.000 3.262
3.262 3.262 0.000
Zr Tl Tc
1 1 2
direct
0.000 0.000 0.000
0.750 0.750 0.750
0.250 0.250 0.250
0.500 0.500 0.500
```

Properties
Energy of formation (eV per atom): 0.343
Energy above the most stable polymorph in this dataset (kJ/mol of atoms): 23.55
E_tot (eV/atom): -42.951
Density of states at the Fermi level (states/eV/cell): 4.56
Space-group type: F-43m


Record 6
This record from the Alexandria database describes a PBEsol-optimized structure of ZrTlTc2. The functional is SCAN.

The structure in POSCAR format:
```
ZrTlTc2
1.0
3.355 0.000 0.000
0.000 3.355 0.000
0.000 0.000 6.158
Zr Tl Tc
1 1 2
direct
0.000 0.000 0.000
0.000 0.000 0.500
0.500 0.500 0.238
0.500 0.500 0.762
```

Properties
Energy of formation (eV per atom): 0.206
Energy above the most stable polymorph in this dataset (kJ/mol of atoms): 10.37
E_tot (eV/atom): -43.088
Density of states at the Fermi level (states/eV/cell): 3.94
Space-group type: P4/mmm


Record 7
This record from the Alexandria database describes a PBEsol-optimized structure of ZrTlTc2. The functional is SCAN.

The structure in POSCAR format:
```
ZrTlTc2
1.0
-1.643 2.235 4.699
1.643 -2.235 4.699
1.643 2.235 -4.699
Zr Tl Tc
1 1 2
direct
0.000 0.000 0.000
0.727 0.227 0.500
0.249 0.749 0.500
0.473 0.473 0.000
```

Properties
Energy of formation (eV per atom): 0.099
Energy above the most stable polymorph in this dataset (kJ/mol of atoms): 0.00
E_tot (eV/atom): -43.195
Density of states at the Fermi level (states/eV/cell): 3.73
Space-group type: Imm2


Record 8
This record from the Alexandria database describes a PBEsol-optimized structure of TmTc2. The functional is SCAN.

The structure in POSCAR format:
```
TmTc2
1.0
5.266 0.000 0.000
-2.633 4.561 0.000
0.000 0.000 8.692
Tm Tc
4 8
direct
0.333 0.667 0.063
0.333 0.667 0.437
0.667 0.333 0.563
0.667 0.333 0.937
0.000 0.000 0.000
0.000 0.000 0.500
0.171 0.343 0.750
0.171 0.829 0.750
0.343 0.171 0.250
0.657 0.829 0.750
0.829 0.171 0.250
0.829 0.657 0.250
```

Properties
Energy of formation (eV per atom): -0.324
E_tot (eV/atom): -40.975
Density of states at the Fermi level (states/eV/cell): 10.91
Space-group type: P6_3/mmc


Record 9
This record from the Alexandria database describes a PBEsol-optimized structure of VTc. The functional is SCAN.

The structure in POSCAR format:
```
VTc
1.0
2.986 0.000 0.000
0.000 2.986 0.000
0.000 0.000 2.986
V Tc
1 1
direct
0.000 0.000 0.000
0.500 0.500 0.500
```

Properties
Energy of formation (eV per atom): -0.496
E_tot (eV/atom): -26.770
Density of states at the Fermi level (states/eV/cell): 0.61
Space-group type: Pm-3m


Record 10
This record from the Alexandria database describes a PBEsol-optimized structure of TcW4. The functional is SCAN.

The structure in POSCAR format:
```
TcW4
1.0
-3.505 3.505 1.565
3.505 -3.505 1.565
3.505 3.505 -1.565
Tc W
1 4
direct
0.000 0.000 0.000
0.199 0.603 0.802
0.397 0.199 0.597
0.603 0.801 0.403
0.801 0.397 0.198
```

Properties
Energy of formation (eV per atom): 0.018
E_tot (eV/atom): -62.744
Density of states at the Fermi level (states/eV/cell): 3.27
Space-group type: I4/m


Record 11
This record from the Alexandria database describes a PBEsol-optimized structure of Tc2W. The functional is SCAN.

The structure in POSCAR format:
```
Tc2W
1.0
-1.378 1.924 4.146
1.378 -1.924 4.146
1.378 1.924 -4.146
Tc W
2 1
direct
0.171 0.171 0.000
0.829 0.829 0.000
0.500 0.500 0.000
```

Properties
Energy of formation (eV per atom): 0.167
Energy above the most stable polymorph in this dataset (kJ/mol of atoms): 10.27
E_tot (eV/atom): -46.436
Density of states at the Fermi level (states/eV/cell): 2.49
Space-group type: Immm


Record 12
This record from the Alexandria database describes a PBEsol-optimized structure of TcW3. The functional is SCAN.

The structure in POSCAR format:
```
TcW3
1.0
4.424 0.000 0.000
0.000 4.424 0.000
0.000 0.000 3.124
Tc W
1 3
direct
0.000 0.000 0.000
0.000 0.500 0.500
0.500 0.000 0.500
0.500 0.500 0.000
```

Properties
Energy of formation (eV per atom): 0.022
E_tot (eV/atom): -61.009
Density of states at the Fermi level (states/eV/cell): 2.78
Space-group type: P4/mmm


Record 13
This record from the Alexandria database describes a PBEsol-optimized structure of Tc5W3. The functional is SCAN.

The structure in POSCAR format:
```
Tc5W3
1.0
3.229 -4.286 0.000
3.229 4.286 0.000
0.000 0.000 4.254
Tc W
5 3
direct
0.000 0.000 0.000
0.000 0.500 0.000
0.275 0.275 0.500
0.500 0.000 0.000
0.725 0.725 0.500
0.223 0.777 0.500
0.500 0.500 0.000
0.777 0.223 0.500
```

Properties
Energy of formation (eV per atom): 0.039
E_tot (eV/atom): -48.006
Density of states at the Fermi level (states/eV/cell): 5.07
Space-group type: Cmmm


Record 14
This record from the Alexandria database describes a PBEsol-optimized structure of TcW3. The functional is SCAN.

The structure in POSCAR format:
```
TcW3
1.0
4.412 2.547 0.907
-4.412 2.547 0.907
0.000 -5.094 0.907
Tc W
1 3
direct
0.000 0.000 0.000
0.000 0.500 0.500
0.500 0.000 0.500
0.500 0.500 0.000
```

Properties
Energy of formation (eV per atom): 0.033
E_tot (eV/atom): -60.998
Density of states at the Fermi level (states/eV/cell): 2.57
Space-group type: R-3m


Record 15
This record from the Alexandria database describes a PBEsol-optimized structure of TcW3. The functional is SCAN.

The structure in POSCAR format:
```
TcW3
1.0
3.134 -4.422 0.000
3.134 4.422 0.000
0.000 0.000 4.414
Tc W
2 6
direct
0.122 0.878 0.750
0.878 0.122 0.250
0.126 0.376 0.750
0.373 0.627 0.250
0.376 0.126 0.250
0.624 0.874 0.750
0.627 0.373 0.750
0.874 0.624 0.250
```

Properties
Energy of formation (eV per atom): 0.022
E_tot (eV/atom): -61.009
Density of states at the Fermi level (states/eV/cell): 5.02
Space-group type: Cmcm


Record 16
This record from the Alexandria database describes a PBEsol-optimized structure of Tc3W5. The functional is SCAN.

The structure in POSCAR format:
```
Tc3W5
1.0
3.122 -4.392 0.000
3.122 4.392 0.000
0.000 0.000 4.400
Tc W
3 5
direct
0.000 0.000 0.000
0.245 0.755 0.500
0.755 0.245 0.500
0.000 0.500 0.000
0.253 0.253 0.500
0.500 0.000 0.000
0.500 0.500 0.000
0.747 0.747 0.500
```

Properties
Energy of formation (eV per atom): 0.028
E_tot (eV/atom): -56.674
Density of states at the Fermi level (states/eV/cell): 6.04
Space-group type: Cmmm


Record 17
This record from the Alexandria database describes a PBEsol-optimized structure of Tc2W. The functional is SCAN.

The structure in POSCAR format:
```
Tc2W
1.0
5.367 0.000 0.000
0.000 4.211 0.000
0.000 0.000 7.810
Tc W
8 4
direct
0.035 0.250 0.233
0.168 0.250 0.566
0.332 0.750 0.066
0.465 0.750 0.733
0.535 0.250 0.267
0.668 0.250 0.934
0.832 0.750 0.434
0.965 0.750 0.767
0.173 0.250 0.904
0.327 0.750 0.404
0.673 0.250 0.596
0.827 0.750 0.096
```

Properties
Energy of formation (eV per atom): 0.060
Energy above the most stable polymorph in this dataset (kJ/mol of atoms): 0.00
E_tot (eV/atom): -46.542
Density of states at the Fermi level (states/eV/cell): 11.88
Space-group type: Pnma


Record 18
This record from the Alexandria database describes a PBEsol-optimized structure of TcW3. The functional is SCAN.

The structure in POSCAR format:
```
TcW3
1.0
1.562 -2.225 0.000
1.562 2.225 0.000
0.000 0.000 8.814
Tc W
1 3
direct
0.000 0.000 0.000
0.000 0.000 0.500
0.500 0.500 0.246
0.500 0.500 0.754
```

Properties
Energy of formation (eV per atom): 0.053
E_tot (eV/atom): -60.978
Density of states at the Fermi level (states/eV/cell): 2.99
Space-group type: Cmmm


Record 19
This record from the Alexandria database describes a PBEsol-optimized structure of TcW2. The functional is SCAN.

The structure in POSCAR format:
```
TcW2
1.0
4.928 -1.561 0.000
4.928 1.561 0.000
-2.028 0.000 5.930
Tc W
2 4
direct
0.162 0.162 0.087
0.838 0.838 0.913
0.168 0.168 0.585
0.496 0.496 0.249
0.504 0.504 0.751
0.832 0.832 0.415
```

Properties
Energy of formation (eV per atom): 0.034
Energy above the most stable polymorph in this dataset (kJ/mol of atoms): 0.85
E_tot (eV/atom): -58.112
Density of states at the Fermi level (states/eV/cell): 4.19
Space-group type: C2/m


Record 20
This record from the Alexandria database describes a PBEsol-optimized structure of TcW2. The functional is SCAN.

The structure in POSCAR format:
```
TcW2
1.0
4.386 0.000 0.000
-2.193 3.799 0.000
0.000 0.000 2.732
Tc W
1 2
direct
0.000 0.000 0.000
0.333 0.667 0.663
0.667 0.333 0.337
```

Properties
Energy of formation (eV per atom): 0.067
Energy above the most stable polymorph in this dataset (kJ/mol of atoms): 4.02
E_tot (eV/atom): -58.079
Density of states at the Fermi level (states/eV/cell): 2.20
Space-group type: P-3m1


Record 21
This record from the Alexandria database describes a PBEsol-optimized structure of Tc24W5. The functional is SCAN.

The structure in POSCAR format:
```
Tc24W5
1.0
-4.715 4.715 4.715
4.715 -4.715 4.715
4.715 4.715 -4.715
Tc W
24 5
direct
0.000 0.316 0.601
0.000 0.601 0.316
0.000 0.626 0.807
0.000 0.807 0.626
0.181 0.374 0.374
0.193 0.193 0.819
0.193 0.819 0.193
0.284 0.684 0.684
0.316 0.000 0.601
0.316 0.601 0.000
0.374 0.181 0.374
0.374 0.374 0.181
0.399 0.399 0.716
0.399 0.716 0.399
0.601 0.000 0.316
0.601 0.316 0.000
0.626 0.000 0.807
0.626 0.807 0.000
0.684 0.284 0.684
0.684 0.684 0.284
0.716 0.399 0.399
0.807 0.000 0.626
0.807 0.626 0.000
0.819 0.193 0.193
0.000 0.000 0.000
0.000 0.000 0.362
0.000 0.362 0.000
0.362 0.000 0.000
0.638 0.638 0.638
```

Properties
Energy of formation (eV per atom): -0.024
E_tot (eV/atom): -41.055
Density of states at the Fermi level (states/eV/cell): 30.22
Space-group type: I-43m


Record 22
This record from the Alexandria database describes a PBEsol-optimized structure of TcW3. The functional is SCAN.

The structure in POSCAR format:
```
TcW3
1.0
4.982 0.000 0.000
0.000 4.982 0.000
0.000 0.000 4.982
Tc W
2 6
direct
0.000 0.000 0.000
0.500 0.500 0.500
0.000 0.250 0.500
0.000 0.750 0.500
0.250 0.500 0.000
0.500 0.000 0.250
0.500 0.000 0.750
0.750 0.500 0.000
```

Properties
Energy of formation (eV per atom): 0.046
E_tot (eV/atom): -60.985
Density of states at the Fermi level (states/eV/cell): 6.91
Space-group type: Pm-3n


Record 23
This record from the Alexandria database describes a PBEsol-optimized structure of Tc3W. The functional is SCAN.

The structure in POSCAR format:
```
Tc3W
1.0
4.778 0.000 0.000
0.000 8.834 0.000
0.000 0.000 5.473
Tc W
12 4
direct
0.082 0.250 0.123
0.239 0.508 0.874
0.239 0.992 0.874
0.261 0.008 0.374
0.261 0.492 0.374
0.418 0.750 0.623
0.582 0.250 0.377
0.739 0.508 0.626
0.739 0.992 0.626
0.761 0.008 0.126
0.761 0.492 0.126
0.918 0.750 0.877
0.079 0.250 0.622
0.421 0.750 0.122
0.579 0.250 0.878
0.921 0.750 0.378
```

Properties
Energy of formation (eV per atom): 0.088
E_tot (eV/atom): -43.629
Density of states at the Fermi level (states/eV/cell): 14.19
Space-group type: Pnma


Record 24
This record from the Alexandria database describes a PBEsol-optimized structure of Tc7W. The functional is SCAN.

The structure in POSCAR format:
```
Tc7W
1.0
0.000 3.847 3.847
3.847 0.000 3.847
3.847 3.847 0.000
Tc W
7 1
direct
0.000 0.000 0.000
0.000 0.000 0.500
0.000 0.500 0.000
0.000 0.500 0.500
0.500 0.000 0.000
0.500 0.000 0.500
0.500 0.500 0.000
0.500 0.500 0.500
```

Properties
Energy of formation (eV per atom): 0.090
E_tot (eV/atom): -39.298
Density of states at the Fermi level (states/eV/cell): 7.43
Space-group type: Fm-3m


Record 25
This record from the Alexandria database describes a PBEsol-optimized structure of TcW2. The functional is SCAN.

The structure in POSCAR format:
```
TcW2
1.0
-1.559 1.559 4.686
1.559 -1.559 4.686
1.559 1.559 -4.686
Tc W
1 2
direct
0.000 0.000 0.000
0.332 0.332 0.000
0.668 0.668 0.000
```

Properties
Energy of formation (eV per atom): 0.037
Energy above the most stable polymorph in this dataset (kJ/mol of atoms): 1.20
E_tot (eV/atom): -58.108
Density of states at the Fermi level (states/eV/cell): 2.08
Space-group type: I4/mmm


Record 26
This record from the Alexandria database describes a PBEsol-optimized structure of TcW3. The functional is SCAN.

The structure in POSCAR format:
```
TcW3
1.0
2.724 0.000 0.000
0.000 4.409 0.000
-0.930 0.000 5.096
Tc W
1 3
direct
0.000 0.000 0.000
0.255 0.500 0.751
0.500 0.000 0.500
0.745 0.500 0.249
```

Properties
Energy of formation (eV per atom): 0.040
E_tot (eV/atom): -60.991
Density of states at the Fermi level (states/eV/cell): 2.73
Space-group type: P2/m